{
  "formula": "Li3Ho2Tl4",
  "functional": "GGA-PBE",
  "state": "optimized geometry",
  "cell": [[4.9443, 0.0006, 0.0008], [2.4716, 4.5882, 0.6326], [-0.0016, 0.6470, 9.3633]],
  "species": ["Tl", "Li", "Li", "Tl", "Ho", "Li", "Tl", "Ho", "Tl"],
  "frac_coords": [[0.0727, 0.8547, 0.3708], [0.6198, 0.7604, 0.5850], [0.0000, 0.0000, 0.0000], [0.9273, 0.1453, 0.6292], [0.7102, 0.5796, 0.2404], [0.3802, 0.2396, 0.4150], [0.6408, 0.7185, 0.8953], [0.2898, 0.4204, 0.7596], [0.3592, 0.2815, 0.1047]],
  "space_group": "C2/m, No. 12",
  "relative_energy_mev_per_atom": 0
}



{
  "formula": "LiHoTl2",
  "functional": "GGA-PBE",
  "state": "optimized geometry",
  "cell": [[-1.4108, 2.8350, -1.6749], [-3.5146, 0.6524, 0.2339], [-0.1683, 6.3795, 7.1091]],
  "species": ["Ho", "Li", "Tl", "Tl"],
  "frac_coords": [[0.6666, 0.6666, 0.0001], [0.4998, 0.4998, 0.5006], [0.0912, 0.0912, 0.7263], [0.2424, 0.2424, 0.2729]],
  "space_group": "R3m, No. 160",
  "relative_energy_mev_per_atom": 150
}



{
  "formula": "LiHo4Tl2",
  "functional": "GGA-PBE",
  "state": "optimized geometry",
  "cell": [[4.9992, 0.0000, 1.5619], [2.2556, 4.4614, 1.5619], [-0.0096, -0.0059, 8.8122]],
  "species": ["Tl", "Ho", "Ho", "Ho", "Li", "Ho", "Tl"],
  "frac_coords": [[0.2584, 0.2584, 0.2247], [0.8685, 0.8685, 0.3946], [0.1315, 0.1315, 0.6054], [0.3861, 0.3861, 0.8416], [0.0000, 0.0000, 0.0000], [0.6139, 0.6139, 0.1584], [0.7416, 0.7416, 0.7753]],
  "space_group": "R-3m, No. 166",
  "relative_energy_mev_per_atom": 0
}



{
  "formula": "Li6HoTl6",
  "functional": "GGA-PBE",
  "state": "optimized geometry",
  "cell": [[5.4303, 0.0000, 2.3713], [2.5315, 6.8340, 1.6062], [-0.0215, -0.3893, 7.4525]],
  "species": ["Tl", "Li", "Li", "Tl", "Tl", "Li", "Li", "Tl", "Ho", "Tl", "Li", "Li", "Tl"],
  "frac_coords": [[0.3375, 0.6625, 0.6625], [0.5000, 0.0000, 0.5000], [0.5000, 0.2400, 0.7600], [0.6743, 0.8257, 0.8257], [0.6625, 0.3375, 0.3375], [0.0000, 0.5000, 0.0000], [0.0000, 0.0000, 0.5000], [0.3257, 0.1743, 0.1743], [0.0000, 0.0000, 0.0000], [0.0000, 0.3375, 0.6625], [0.5000, 0.5000, 0.0000], [0.5000, 0.7600, 0.2400], [0.0000, 0.6625, 0.3375]],
  "space_group": "Immm, No. 71"
}



{
  "formula": "Li2HoTl4",
  "functional": "GGA-PBE",
  "state": "optimized geometry",
  "cell": [[4.7248, 0.0000, 1.4761], [2.1318, 4.2165, 1.4761], [-0.1398, -0.0860, 8.7471]],
  "species": ["Tl", "Tl", "Li", "Li", "Tl", "Ho", "Tl"],
  "frac_coords": [[0.8675, 0.8675, 0.3974], [0.3868, 0.3868, 0.8395], [0.2530, 0.2530, 0.2411], [0.7470, 0.7470, 0.7589], [0.6132, 0.6132, 0.1605], [0.0000, 0.0000, 0.0000], [0.1325, 0.1325, 0.6026]],
  "space_group": "R-3m, No. 166"
}



{
  "formula": "LiHo3Tl",
  "functional": "GGA-PBE",
  "state": "optimized geometry",
  "cell": [[-1.0801, 4.9358, -0.2028], [-3.8810, -0.9771, -3.1104], [-6.9659, 1.4049, 8.2505]],
  "species": ["Ho", "Tl", "Ho", "Li", "Tl", "Ho", "Ho", "Ho", "Ho", "Li"],
  "frac_coords": [[0.2684, 0.7500, 0.1115], [0.6663, 0.7500, 0.3158], [0.5730, 0.2500, 0.5024], [0.4774, 0.7500, 0.6936], [0.9821, 0.2500, 0.6842], [0.3799, 0.2500, 0.8885], [0.7633, 0.2500, 0.1217], [0.8850, 0.7500, 0.8783], [0.0754, 0.7500, 0.4976], [0.1710, 0.2500, 0.3064]],
  "space_group": "Cmcm, No. 63",
  "relative_energy_mev_per_atom": 0
}



{
  "formula": "Li3Ho2Tl2",
  "functional": "GGA-PBE",
  "state": "optimized geometry",
  "cell": [[-1.8800, -3.9572, 2.0250], [-0.3280, 0.0958, -5.8690], [6.0350, -2.0383, 1.6197]],
  "species": ["Tl", "Ho", "Li", "Li", "Tl", "Li", "Ho"],
  "frac_coords": [[0.8534, 0.7069, 0.7558], [0.8485, 0.6970, 0.2305], [0.3958, 0.7915, 0.5704], [0.5000, 0.0000, 0.0000], [0.1466, 0.2931, 0.2442], [0.6042, 0.2085, 0.4296], [0.1515, 0.3030, 0.7695]],
  "space_group": "C2/m, No. 12"
}



{
  "formula": "LiHo3Tl",
  "functional": "GGA-PBE",
  "state": "optimized geometry",
  "cell": [[6.6466, 0.0000, 0.0000], [0.0000, 8.8224, 1.5090], [0.0000, 1.0478, 9.7205]],
  "species": ["Ho", "Tl", "Tl", "Ho", "Li", "Ho", "Ho", "Ho", "Li", "Ho", "Ho", "Ho", "Ho", "Tl", "Li", "Ho", "Li", "Tl", "Ho", "Ho"],
  "frac_coords": [[0.5018, 0.7961, 0.3013], [0.7502, 0.6474, 0.5881], [0.2498, 0.3525, 0.4119], [0.0018, 0.2039, 0.1987], [0.7496, 0.0114, 0.9972], [0.2497, 0.5722, 0.6070], [0.4983, 0.2036, 0.1992], [0.9982, 0.7961, 0.8013], [0.7504, 0.0114, 0.4972], [0.5017, 0.7964, 0.8008], [0.7497, 0.4278, 0.8930], [0.7503, 0.4278, 0.3930], [0.4982, 0.2039, 0.6987], [0.7498, 0.6474, 0.0881], [0.2504, 0.9886, 0.0028], [0.9983, 0.7964, 0.3008], [0.2496, 0.9886, 0.5028], [0.2502, 0.3525, 0.9119], [0.2503, 0.5722, 0.1070], [0.0017, 0.2036, 0.6992]],
  "space_group": "Cmcm, No. 63",
  "relative_energy_mev_per_atom": 79
}



{
  "formula": "LiHo4Tl7",
  "functional": "GGA-PBE",
  "state": "optimized geometry",
  "cell": [[5.3279, 0.0000, 0.0000], [2.6639, 9.1466, 0.0951], [2.6639, 0.5176, 7.1786]],
  "species": ["Tl", "Ho", "Tl", "Li", "Ho", "Ho", "Tl", "Tl", "Tl", "Tl", "Tl", "Ho"],
  "frac_coords": [[0.3657, 0.5558, 0.7129], [0.7138, 0.6643, 0.9081], [0.2210, 0.1141, 0.4439], [0.0000, 0.0000, 0.0000], [0.4225, 0.7842, 0.3707], [0.2862, 0.3357, 0.0919], [0.5000, 0.0000, 0.0000], [0.9234, 0.3109, 0.8423], [0.6343, 0.4442, 0.2871], [0.7790, 0.8859, 0.5561], [0.0766, 0.6891, 0.1577], [0.5775, 0.2158, 0.6293]],
  "space_group": "C2/m, No. 12"
}



{
  "formula": "LiHo4Tl2",
  "functional": "GGA-PBE",
  "state": "optimized geometry",
  "cell": [[-5.3353, -2.7587, -3.5820], [3.8811, -5.0542, -1.8881], [0.9100, -2.6574, 8.9842]],
  "species": ["Ho", "Tl", "Tl", "Tl", "Ho", "Ho", "Li", "Ho", "Li", "Ho", "Ho", "Ho", "Tl", "Ho"],
  "frac_coords": [[0.9837, 0.2500, 0.5234], [0.6116, 0.7500, 0.5450], [0.3884, 0.2500, 0.4550], [0.2030, 0.2500, 0.9214], [0.5410, 0.4941, 0.2201], [0.0544, 0.7500, 0.8718], [0.2179, 0.7500, 0.2679], [0.5410, 0.0059, 0.2201], [0.7821, 0.2500, 0.7321], [0.4590, 0.9941, 0.7799], [0.0163, 0.7500, 0.4766], [0.9456, 0.2500, 0.1282], [0.7970, 0.7500, 0.0786], [0.4590, 0.5059, 0.7799]],
  "space_group": "P2_1/m, No. 11",
  "relative_energy_mev_per_atom": 40
}



{
  "formula": "Li4HoTl5",
  "functional": "GGA-PBE",
  "state": "optimized geometry",
  "cell": [[3.5625, 0.0000, 0.0000], [0.0000, 3.5625, 0.0000], [0.0000, 0.0000, 17.5835]],
  "species": ["Li", "Li", "Tl", "Tl", "Ho", "Tl", "Li", "Tl", "Tl", "Li"],
  "frac_coords": [[0.0000, 0.0000, 0.5984], [0.0000, 0.0000, 0.4016], [0.5000, 0.5000, 0.6942], [0.5000, 0.5000, 0.8811], [0.0000, 0.0000, 0.0000], [0.5000, 0.5000, 0.5000], [0.0000, 0.0000, 0.7894], [0.5000, 0.5000, 0.1189], [0.5000, 0.5000, 0.3058], [0.0000, 0.0000, 0.2106]],
  "space_group": "P4/mmm, No. 123"
}



Number 1: energy relative to the elements -248.4 meV per atom, total moment 0.0 Bohr magnetons per cell. Number 2: energy relative to the elements -155.9 meV per atom, total moment 0.0 Bohr magnetons per cell. Number 3: energy relative to the elements -130.7 meV per atom, total moment 0.7 Bohr magnetons per cell. Number 4: energy relative to the elements -218.9 meV per atom, total moment 0.0 Bohr magnetons per cell. Number 5: energy relative to the elements -193.6 meV per atom, total moment 0.0 Bohr magnetons per cell. Number 6: energy relative to the elements -136.4 meV per atom, total moment 0.1 Bohr magnetons per cell. Number 7: energy relative to the elements -214.2 meV per atom, total moment 0.0 Bohr magnetons per cell. Number 8: energy relative to the elements -57.2 meV per atom, total moment 0.0 Bohr magnetons per cell. Number 9: energy relative to the elements -130.3 meV per atom, total moment 0.0 Bohr magnetons per cell. Number 10: energy relative to the elements -90.3 meV per atom, total moment 0.0 Bohr magnetons per cell. Number 11: energy relative to the elements -241.6 meV per atom, total moment 0.2 Bohr magnetons per cell.